(1)
## FePt2Se (GGA-PBE)

Data for a relaxed structure of FePt2Se.

Structure (extended XYZ):
```
4
Lattice="2.9039 0.0000 0.0000 0.0000 4.6132 0.0000 0.0000 0.0000 4.7290" Properties=species:S:1:pos:R:3 pbc="T T T"
Fe 0.0000 0.0000 0.0000
Pt 0.0000 2.3066 2.3645
Pt 1.4519 2.3066 0.0000
Se 1.4519 0.0000 2.3645
```

The space group is Pmmm, No. 47. As for the uncorrected formation energy: 0.144 eV per atom. The value obtained for the density of states at the Fermi level is 2.753 states/eV/f.u.


(2)
## Ba2CuTc2 (GGA-PBE)

Data for a relaxed structure of Ba2CuTc2.

Structure (extended XYZ):
```
10
Lattice="6.9733 0.0000 0.0000 0.0000 6.9733 0.0000 0.0000 0.0000 5.1719" Properties=species:S:1:pos:R:3 pbc="T T T"
Ba 1.3057 2.1810 0.0000
Ba 2.1810 5.6677 0.0000
Ba 4.7923 1.3057 0.0000
Ba 5.6677 4.7923 0.0000
Cu 0.0000 0.0000 2.5859
Cu 3.4867 3.4867 2.5859
Tc 0.7928 4.2794 2.5859
Tc 2.6939 0.7928 2.5859
Tc 4.2794 6.1806 2.5859
Tc 6.1806 2.6939 2.5859
```

The space group is P4/mbm, No. 127. As for the electronic total energy: -0.18450 hartree per atom. The value obtained for the density of states at the Fermi level is 9.370 states/eV/f.u.


(3)
## Sr2LaAgB (GGA-PBE)

Data for a relaxed structure of Sr2LaAgB.

Structure (extended XYZ):
```
5
Lattice="6.2144 0.0000 0.0000 0.0000 6.2144 0.0000 0.0000 0.0000 4.2773" Properties=species:S:1:pos:R:3 pbc="T T T"
Sr 0.0000 3.1072 0.0000
Sr 3.1072 0.0000 0.0000
La 0.0000 0.0000 2.1387
Ag 3.1072 3.1072 0.0000
B 3.1072 3.1072 2.1387
```

The space group is P4/mmm, No. 123. As for the electronic total energy: -0.10767 hartree per atom. The value obtained for the density of states at the Fermi level is 7.384 states/eV/f.u.


(4)
## BaMg2Cd5 (GGA-PBE)

Data for a relaxed structure of BaMg2Cd5.

Structure (extended XYZ):
```
8
Lattice="-2.2703 4.0789 5.8249 2.2703 -4.0789 5.8249 2.2703 4.0789 -5.8249" Properties=species:S:1:pos:R:3 pbc="T T T"
Ba 0.0000 0.0000 0.0000
Mg 2.2703 0.0000 2.9268
Mg 0.0000 4.0789 2.8981
Cd 2.2703 2.5384 -1.5675
Cd 2.2703 2.5384 1.5675
Cd 0.0000 4.0789 0.0000
Cd 0.0000 1.5405 4.2574
Cd 0.0000 1.5405 7.3924
```

The space group is Immm, No. 71. As for the electronic total energy: -0.05023 hartree per atom. The value obtained for the density of states at the Fermi level is 4.702 states/eV/f.u.


Please write out number 1 again, unchanged.
## FePt2Se (GGA-PBE)

Data for a relaxed structure of FePt2Se.

Structure (extended XYZ):
```
4
Lattice="2.9039 0.0000 0.0000 0.0000 4.6132 0.0000 0.0000 0.0000 4.7290" Properties=species:S:1:pos:R:3 pbc="T T T"
Fe 0.0000 0.0000 0.0000
Pt 0.0000 2.3066 2.3645
Pt 1.4519 2.3066 0.0000
Se 1.4519 0.0000 2.3645
```

The space group is Pmmm, No. 47. As for the uncorrected formation energy: 0.144 eV per atom. The value obtained for the density of states at the Fermi level is 2.753 states/eV/f.u.